[1]
Compound: Dy11Mg9Cd4
Source: Alexandria
Functional: GGA-PBE
Structure: optimized geometry

a b c (Å): 13.5004 13.5004 3.8215
angles (deg): 90.00 90.00 112.19
Last column: nearest neighbours and their distance in Å.
Fractional positions:
1 Dy 0.0000 0.0000 0.0000  8 Mg 3.24
2 Dy 0.0692 0.4117 0.0000  2 Cd 3.14, 6 Mg 3.28-3.30
3 Dy 0.1679 0.8321 0.0000  8 Mg 3.28-3.33, 2 Dy 3.62
4 Dy 0.2592 0.2592 0.0000  4 Cd 3.17, 4 Mg 3.31
5 Dy 0.3488 0.6512 0.0000  4 Cd 3.17, 4 Mg 3.30
6 Dy 0.4117 0.0692 0.0000  2 Cd 3.14, 6 Mg 3.28-3.30
7 Dy 0.5883 0.9308 0.0000  2 Cd 3.14, 6 Mg 3.28-3.30
8 Dy 0.6512 0.3488 0.0000  4 Cd 3.17, 4 Mg 3.30
9 Dy 0.7408 0.7408 0.0000  4 Cd 3.17, 4 Mg 3.31
10 Dy 0.8321 0.1679 0.0000  8 Mg 3.28-3.33, 2 Dy 3.62
11 Dy 0.9308 0.5883 0.0000  2 Cd 3.14, 6 Mg 3.28-3.30
12 Mg 0.0454 0.2065 0.5000  8 Dy 3.24-3.33, 1 Cd 3.49, 1 Mg 3.61
13 Mg 0.1415 0.6265 0.5000  8 Dy 3.28-3.30, 1 Cd 3.40, 1 Mg 3.49
14 Mg 0.2065 0.0454 0.5000  8 Dy 3.24-3.33, 1 Cd 3.49, 1 Mg 3.61
15 Mg 0.3735 0.8585 0.5000  8 Dy 3.28-3.30, 1 Cd 3.40, 1 Mg 3.49
16 Mg 0.5000 0.5000 0.5000  4 Cd 2.98
17 Mg 0.6265 0.1415 0.5000  8 Dy 3.28-3.30, 1 Cd 3.40, 1 Mg 3.49
18 Mg 0.7935 0.9546 0.5000  8 Dy 3.24-3.33, 1 Cd 3.49, 1 Mg 3.61
19 Mg 0.8585 0.3735 0.5000  8 Dy 3.28-3.30, 1 Cd 3.40, 1 Mg 3.49
20 Mg 0.9546 0.7935 0.5000  8 Dy 3.24-3.33, 1 Cd 3.49, 1 Mg 3.61
21 Cd 0.2649 0.4490 0.5000  1 Mg 2.98, 6 Dy 3.14-3.17
22 Cd 0.4490 0.2649 0.5000  1 Mg 2.98, 6 Dy 3.14-3.17
23 Cd 0.5510 0.7351 0.5000  1 Mg 2.98, 6 Dy 3.14-3.17
24 Cd 0.7351 0.5510 0.5000  1 Mg 2.98, 6 Dy 3.14-3.17

Fermi-level density of states = 1.163 states/eV per atom
Density = 6323 kg/m3
Space-group type = No. 65
E_tot = -3.00 eV per atom
ΔH_f (0 K) = -136 meV per atom

---

[2]
Compound: DyMg2Cd2
Source: Alexandria
Functional: GGA-PBE
Structure: optimized geometry

a b c (Å): 7.2343 7.2343 4.3112
angles (deg): 107.10 107.10 34.68
Last column: nearest neighbours and their distance in Å.
Fractional positions:
1 Dy 0.0000 0.0000 0.0000  8 Cd 3.34-3.35
2 Mg 0.2500 0.2500 0.7505  4 Cd 2.88, 4 Mg 3.05
3 Mg 0.7500 0.7500 0.2495  4 Cd 2.88, 4 Mg 3.05
4 Cd 0.3953 0.3953 0.3948  1 Cd 2.75, 4 Mg 2.88
5 Cd 0.6047 0.6047 0.6052  1 Cd 2.75, 4 Mg 2.88

Fermi-level density of states = 0.518 states/eV per atom
Density = 5927 kg/m3
Space-group type = No. 12
Offset from the most stable computed form = 30.3 meV per atom
E_tot = -2.07 eV per atom
ΔH_f (0 K) = -148 meV per atom

---

[3]
Compound: DyMg5Cd3
Source: Alexandria
Functional: GGA-PBE
Structure: optimized geometry

a b c (Å): 8.7763 8.7763 6.2448
angles (deg): 90.00 90.00 120.00
Last column: nearest neighbours and their distance in Å.
Fractional positions:
1 Dy 0.0000 0.0000 0.0000  2 Dy 3.12, 6 Cd 3.28, 6 Mg 3.39
2 Dy 0.0000 0.0000 0.5000  2 Dy 3.12, 6 Cd 3.28, 6 Mg 3.39
3 Mg 0.0000 0.3428 0.2500  5 Cd 2.88-3.12
4 Mg 0.0000 0.6572 0.7500  5 Cd 2.88-3.12
5 Mg 0.3333 0.6667 0.0000  8 Mg 3.12-3.28, 6 Cd 3.33
6 Mg 0.3333 0.6667 0.5000  8 Mg 3.12-3.28, 6 Cd 3.33
7 Mg 0.3428 0.0000 0.2500  5 Cd 2.88-3.12
8 Mg 0.3428 0.3428 0.7500  5 Cd 2.88-3.12
9 Mg 0.6572 0.0000 0.7500  5 Cd 2.88-3.12
10 Mg 0.6572 0.6572 0.2500  5 Cd 2.88-3.12
11 Mg 0.6667 0.3333 0.0000  8 Mg 3.12-3.28, 6 Cd 3.33
12 Mg 0.6667 0.3333 0.5000  8 Mg 3.12-3.28, 6 Cd 3.33
13 Cd 0.0000 0.3285 0.7500  5 Mg 2.88-3.12
14 Cd 0.0000 0.6715 0.2500  5 Mg 2.88-3.12
15 Cd 0.3285 0.0000 0.7500  5 Mg 2.88-3.12
16 Cd 0.3285 0.3285 0.2500  5 Mg 2.88-3.12
17 Cd 0.6715 0.0000 0.2500  5 Mg 2.88-3.12
18 Cd 0.6715 0.6715 0.7500  5 Mg 2.88-3.12

Fermi-level density of states = 0.450 states/eV per atom
Density = 4953 kg/m3
Space-group type = No. 193
E_tot = -1.82 eV per atom
ΔH_f (0 K) = -123 meV per atom

---

[4]
Compound: Dy4MgCd2
Source: Alexandria
Functional: GGA-PBE
Structure: optimized geometry

a b c (Å): 9.2174 9.2174 9.2174
angles (deg): 33.53 33.53 33.53
Last column: nearest neighbours and their distance in Å.
Fractional positions:
1 Dy 0.1278 0.1278 0.1278  3 Mg 3.23, 3 Cd 3.49, 3 Dy 3.62
2 Dy 0.2789 0.2789 0.2789  4 Cd 3.08-3.10
3 Dy 0.7211 0.7211 0.7211  4 Cd 3.08-3.10
4 Dy 0.8722 0.8722 0.8722  3 Mg 3.23, 3 Cd 3.49, 3 Dy 3.62
5 Mg 0.5000 0.5000 0.5000  2 Cd 2.67
6 Cd 0.3976 0.3976 0.3976  1 Mg 2.67
7 Cd 0.6024 0.6024 0.6024  1 Mg 2.67

Fermi-level density of states = 1.734 states/eV per atom
Density = 7017 kg/m3
Space-group type = No. 166
Offset from the most stable computed form = 144.4 meV per atom
E_tot = -3.03 eV per atom
ΔH_f (0 K) = 88 meV per atom

---

[5]
Compound: Dy2Mg3Cd
Source: Alexandria
Functional: GGA-PBE
Structure: optimized geometry

a b c (Å): 3.3295 5.1456 8.9105
angles (deg): 90.00 90.00 90.00
Last column: nearest neighbours and their distance in Å.
Fractional positions:
1 Dy 0.0000 0.0000 0.0000  2 Dy 3.33, 2 Cd 3.37, 10 Mg 3.38-3.45
2 Dy 0.0000 0.5000 0.4889  2 Dy 3.33, 8 Mg 3.37-3.44, 4 Cd 3.38
3 Mg 0.5000 0.0000 0.6611  1 Cd 2.96, 2 Mg 2.96
4 Mg 0.5000 0.5000 0.1606  3 Mg 2.98-3.33, 2 Cd 2.98
5 Mg 0.5000 0.5000 0.8263  3 Mg 2.96-2.98
6 Cd 0.5000 0.0000 0.3294  3 Mg 2.96-2.98

Fermi-level density of states = 0.820 states/eV per atom
Density = 5551 kg/m3
Space-group type = No. 25
Offset from the most stable computed form = 7.3 meV per atom
E_tot = -2.62 eV per atom
ΔH_f (0 K) = -137 meV per atom

---

[6]
Compound: Dy2MgCd
Source: Alexandria
Functional: GGA-PBE
Structure: optimized geometry

a b c (Å): 5.2632 5.2632 3.8338
angles (deg): 90.00 90.00 90.00
Last column: nearest neighbours and their distance in Å.
Fractional positions:
1 Dy 0.0000 0.5000 0.0000  4 Cd 3.26, 4 Mg 3.26
2 Dy 0.5000 0.0000 0.0000  4 Cd 3.26, 4 Mg 3.26
3 Mg 0.0000 0.0000 0.5000  8 Dy 3.26
4 Cd 0.5000 0.5000 0.5000  8 Dy 3.26

Fermi-level density of states = 1.104 states/eV per atom
Density = 7219 kg/m3
Space-group type = No. 123
E_tot = -3.13 eV per atom
ΔH_f (0 K) = -202 meV per atom